Compound: AlCrF2
Source: Alexandria
Functional: PBE with a Hubbard U
Structure: optimized geometry

Values from the calculation:
- ΔE to the lowest computed polymorph (meV per atom) = 289.7
- total DFT energy (no corrections) (eV/cell) = -19.968
- calculated volume (Å³ per cell) = 71.42

extended XYZ file:
```
4
Lattice="1.984 1.145 5.239 -1.984 1.145 5.239 0.000 -2.291 5.239" Properties=species:S:1:pos:R:3 pbc="T T T"
Al 0.000 0.000 0.000
Cr 0.000 0.000 7.859
F 0.000 0.000 5.866
F 0.000 0.000 9.851
```